DFT (GGA-PBE) results for a relaxed structure of Si2HgCl.

Results
ΔE to the lowest computed polymorph	424	meV per atom
calculated total energy	-2.79	eV per atom
total moment	0.00	μB/f.u.
DOS(E_F)	0.32	states/eV per atom
formation energy from raw total energies	0.461	eV per atom
space-group type	No. 65

Unit cell a=3.0642 b=5.3329 c=9.5667 alpha=90.00 beta=90.00 gamma=90.00
Element x y z (fractional)
Si1 0.0000 0.0000 0.2282
Si2 0.0000 0.0000 0.7718
Si3 0.5000 0.5000 0.2282
Si4 0.5000 0.5000 0.7718
Hg1 0.0000 0.5000 0.5000
Hg2 0.5000 0.0000 0.5000
Cl1 0.0000 0.5000 0.0000
Cl2 0.5000 0.0000 0.0000

=====

DFT (GGA-PBE) results for a relaxed structure of SiHg2Cl.

Results
ΔE to the lowest computed polymorph	190	meV per atom
calculated total energy	-1.77	eV per atom
total moment	0.00	μB/f.u.
DOS(E_F)	0.40	states/eV per atom
formation energy from raw total energies	0.193	eV per atom
space-group type	No. 123

Unit cell a=3.4937 b=3.4937 c=7.4429 alpha=90.00 beta=90.00 gamma=90.00
Element x y z (fractional)
Si1 0.0000 0.0000 0.0000
Hg1 0.5000 0.5000 0.2273
Hg2 0.5000 0.5000 0.7727
Cl1 0.0000 0.0000 0.5000

=====

DFT (GGA-PBE) results for a relaxed structure of Si2HgCl.

Results
ΔE to the lowest computed polymorph	0	meV per atom
calculated total energy	-3.21	eV per atom
total moment	0.00	μB/f.u.
DOS(E_F)	0.46	states/eV per atom
formation energy from raw total energies	0.037	eV per atom
space-group type	No. 99

Unit cell a=3.4944 b=3.4944 c=7.7676 alpha=90.00 beta=90.00 gamma=90.00
Element x y z (fractional)
Si1 0.0000 0.0000 0.0000
Si2 0.5000 0.5000 0.0571
Hg1 0.0000 0.0000 0.6600
Cl1 0.5000 0.5000 0.3367

=====

DFT (GGA-PBE) results for a relaxed structure of SiHg2Cl.

Results
ΔE to the lowest computed polymorph	318	meV per atom
calculated total energy	-1.65	eV per atom
total moment	0.00	μB/f.u.
DOS(E_F)	0.56	states/eV per atom
formation energy from raw total energies	0.321	eV per atom
space-group type	No. 119

Unit cell a=4.4263 b=4.4263 c=9.4839 alpha=90.00 beta=90.00 gamma=90.00
Element x y z (fractional)
Si1 0.0000 0.0000 0.0000
Si2 0.5000 0.5000 0.5000
Hg1 0.0000 0.0000 0.5000
Hg2 0.0000 0.5000 0.2500
Hg3 0.5000 0.0000 0.7500
Hg4 0.5000 0.5000 0.0000
Cl1 0.0000 0.5000 0.7500
Cl2 0.5000 0.0000 0.2500

=====

DFT (GGA-PBE) results for a relaxed structure of SiHg2Cl.

Results
ΔE to the lowest computed polymorph	318	meV per atom
calculated total energy	-1.65	eV per atom
total moment	0.00	μB/f.u.
DOS(E_F)	0.59	states/eV per atom
formation energy from raw total energies	0.321	eV per atom
space-group type	No. 139

Unit cell a=4.1833 b=4.1833 c=11.0593 alpha=90.00 beta=90.00 gamma=90.00
Element x y z (fractional)
Si1 0.0000 0.0000 0.0000
Si2 0.5000 0.5000 0.5000
Hg1 0.0000 0.5000 0.2500
Hg2 0.0000 0.5000 0.7500
Hg3 0.5000 0.0000 0.2500
Hg4 0.5000 0.0000 0.7500
Cl1 0.0000 0.0000 0.5000
Cl2 0.5000 0.5000 0.0000

=====

DFT (GGA-PBE) results for a relaxed structure of SiHg2Cl.

Results
ΔE to the lowest computed polymorph	97	meV per atom
calculated total energy	-1.87	eV per atom
total moment	0.00	μB/f.u.
DOS(E_F)	0.39	states/eV per atom
formation energy from raw total energies	0.101	eV per atom
space-group type	No. 35

Unit cell a=3.1916 b=5.8567 c=10.8737 alpha=90.00 beta=90.00 gamma=90.00
Element x y z (fractional)
Si1 0.0000 0.0000 0.0000
Si2 0.5000 0.5000 0.0000
Hg1 0.0000 0.0000 0.4809
Hg2 0.0000 0.5000 0.7581
Hg3 0.5000 0.0000 0.7581
Hg4 0.5000 0.5000 0.4809
Cl1 0.0000 0.5000 0.1668
Cl2 0.5000 0.0000 0.1668

=====

DFT (GGA-PBE) results for a relaxed structure of SiHg2Cl.

Results
ΔE to the lowest computed polymorph	5	meV per atom
calculated total energy	-1.96	eV per atom
total moment	0.00	μB/f.u.
DOS(E_F)	0.25	states/eV per atom
formation energy from raw total energies	0.009	eV per atom
space-group type	No. 10

Unit cell a=4.9361 b=3.6389 c=6.3667 alpha=90.00 beta=112.66 gamma=90.00
Element x y z (fractional)
Si1 0.0000 0.0000 0.0000
Hg1 0.1775 0.5000 0.3523
Hg2 0.8225 0.5000 0.6477
Cl1 0.5000 0.0000 0.0000

=====

DFT (GGA-PBE) results for a relaxed structure of Si3HgCl.

Results
ΔE to the lowest computed polymorph	0	meV per atom
calculated total energy	-2.55	eV per atom
total moment	0.00	μB/f.u.
DOS(E_F)	0.52	states/eV per atom
formation energy from raw total energies	1.134	eV per atom
space-group type	No. 221

Unit cell a=4.8209 b=4.8209 c=4.8209 alpha=90.00 beta=90.00 gamma=90.00
Element x y z (fractional)
Si1 0.0000 0.0000 0.5000
Si2 0.0000 0.5000 0.0000
Si3 0.5000 0.0000 0.0000
Hg1 0.5000 0.5000 0.5000
Cl1 0.0000 0.0000 0.0000

=====

DFT (GGA-PBE) results for a relaxed structure of Si2HgCl.

Results
ΔE to the lowest computed polymorph	512	meV per atom
calculated total energy	-2.70	eV per atom
total moment	0.00	μB/f.u.
DOS(E_F)	0.32	states/eV per atom
formation energy from raw total energies	0.550	eV per atom
space-group type	No. 123

Unit cell a=3.0459 b=3.0459 c=8.5188 alpha=90.00 beta=90.00 gamma=90.00
Element x y z (fractional)
Si1 0.0000 0.0000 0.2445
Si2 0.0000 0.0000 0.7555
Hg1 0.5000 0.5000 0.5000
Cl1 0.5000 0.5000 0.0000

=====

DFT (GGA-PBE) results for a relaxed structure of Si2HgCl.

Results
ΔE to the lowest computed polymorph	446	meV per atom
calculated total energy	-2.77	eV per atom
total moment	0.00	μB/f.u.
DOS(E_F)	0.21	states/eV per atom
formation energy from raw total energies	0.483	eV per atom
space-group type	No. 166

Unit cell a=3.0416 b=3.0416 c=29.4110 alpha=90.00 beta=90.00 gamma=120.00
Element x y z (fractional)
Si1 0.0000 0.0000 0.2417
Si2 0.0000 0.0000 0.7583
Si3 0.3333 0.6667 0.4249
Si4 0.3333 0.6667 0.9084
Si5 0.6667 0.3333 0.0916
Si6 0.6667 0.3333 0.5751
Hg1 0.0000 0.0000 0.0000
Hg2 0.3333 0.6667 0.6667
Hg3 0.6667 0.3333 0.3333
Cl1 0.0000 0.0000 0.5000
Cl2 0.3333 0.6667 0.1667
Cl3 0.6667 0.3333 0.8333

=====

DFT (GGA-PBE) results for a relaxed structure of Si2HgCl.

Results
ΔE to the lowest computed polymorph	545	meV per atom
calculated total energy	-2.67	eV per atom
total moment	0.00	μB/f.u.
DOS(E_F)	0.35	states/eV per atom
formation energy from raw total energies	0.582	eV per atom
space-group type	No. 65

Unit cell a=5.6069 b=10.0560 c=2.8865 alpha=90.00 beta=90.00 gamma=90.00
Element x y z (fractional)
Si1 0.2500 0.2500 0.0000
Si2 0.2500 0.7500 0.0000
Si3 0.7500 0.2500 0.0000
Si4 0.7500 0.7500 0.0000
Hg1 0.0000 0.0000 0.5000
Hg2 0.5000 0.5000 0.5000
Cl1 0.0000 0.5000 0.5000
Cl2 0.5000 0.0000 0.5000

=====

DFT (GGA-PBE) results for a relaxed structure of SiHg2Cl.

Results
ΔE to the lowest computed polymorph	66	meV per atom
calculated total energy	-1.90	eV per atom
total moment	0.00	μB/f.u.
DOS(E_F)	0.36	states/eV per atom
formation energy from raw total energies	0.070	eV per atom
space-group type	No. 44

Unit cell a=3.2552 b=4.4888 c=15.7200 alpha=90.00 beta=90.00 gamma=90.00
Element x y z (fractional)
Si1 0.0000 0.0000 0.0000
Si2 0.5000 0.5000 0.5000
Hg1 0.0000 0.0000 0.4585
Hg2 0.0000 0.5000 0.2896
Hg3 0.5000 0.0000 0.7896
Hg4 0.5000 0.5000 0.9585
Cl1 0.0000 0.5000 0.6217
Cl2 0.5000 0.0000 0.1217